1.
TaCrSn2Ge | the Alexandria database | GGA-PBEsol | relaxed; VASP energy = -0.452 Ry per atom; magnetic moment = 2.7 Bohr magnetons per cell; V = 25.9 A^3/atom; E_form = 1.097 eV/atom; Fermi-level density of states = 3.55 states/eV per cell
1.0
5.287 0.000 0.000
0.000 5.287 0.000
0.000 0.000 4.637
Ta Cr Sn Ge
1 1 2 1
direct
0.000 0.000 0.000
0.000 0.000 0.500
0.000 0.500 0.000
0.500 0.000 0.000
0.500 0.500 0.500

=====

2.
Y3Ta | the Alexandria database | GGA-PBEsol | relaxed; energy above the most stable polymorph in this dataset = 0.149 eV per atom; VASP energy = -0.571 Ry per atom; magnetic moment = 0.0 Bohr magnetons per cell; V = 25.5 A^3/atom; E_form = 0.479 eV/atom; Fermi-level density of states = 7.90 states/eV per cell
1.0
5.299 3.060 1.047
-5.299 3.060 1.047
0.000 -6.119 1.047
Y Ta
3 1
direct
0.000 0.500 0.500
0.500 0.000 0.500
0.500 0.500 0.000
0.000 0.000 0.000

=====

3.
Fe2CoNi | the Alexandria database | GGA-PBEsol | relaxed; energy above the most stable polymorph in this dataset = 0.055 eV per atom; VASP energy = -0.579 Ry per atom; magnetic moment = 7.8 Bohr magnetons per cell; V = 11.0 A^3/atom; E_form = 0.071 eV/atom; Fermi-level density of states = 6.30 states/eV per cell
1.0
0.000 2.801 2.801
2.801 0.000 2.801
2.801 2.801 0.000
Fe Co Ni
2 1 1
direct
0.250 0.250 0.250
0.750 0.750 0.750
0.000 0.000 0.000
0.500 0.500 0.500

=====

Question: Which value of V does entry 3 give?
Answer: 11.0 A^3/atom

=====

Question: What is the VASP energy in the second record?
Answer: -0.571 Ry per atom

=====

Question: Which value of Fermi-level density of states does entry 3 give?
Answer: 6.30 states/eV per cell

=====

Please write out number 2 again, unchanged.
Y3Ta | the Alexandria database | GGA-PBEsol | relaxed; energy above the most stable polymorph in this dataset = 0.149 eV per atom; VASP energy = -0.571 Ry per atom; magnetic moment = 0.0 Bohr magnetons per cell; V = 25.5 A^3/atom; E_form = 0.479 eV/atom; Fermi-level density of states = 7.90 states/eV per cell
1.0
5.299 3.060 1.047
-5.299 3.060 1.047
0.000 -6.119 1.047
Y Ta
3 1
direct
0.000 0.500 0.500
0.500 0.000 0.500
0.500 0.500 0.000
0.000 0.000 0.000